Record 1
The following is a PBE calculation of an optimized crystal structure of CeFe2B4, from Alexandria via LeMat-Bulk.

Cell: 3.047 3.147 14.894 Å, 90.00 90.00 90.00°
Space group Immm (No. 71)
Inequivalent atoms, fractional coordinates:
Ce (0.000, 0.000, 0.000)
Fe (0.000, 0.500, 0.302)
B (0.000, 0.000, 0.391)
B (0.000, 0.500, 0.159)

Its energy is -7.40 eV per atom. As for the formation enthalpy at 0 K: -0.321 eV/atom. As for the crystal system: orthorhombic.

Record 2
The following is a PBE calculation of an optimized crystal structure of CeFeB4, from Alexandria via LeMat-Bulk.

Cell: 7.309 9.385 3.452 Å, 90.00 90.00 90.00°
Space group Cmmm (No. 65)
Inequivalent atoms, fractional coordinates:
Ce (0.000, 0.200, 0.000)
Fe (0.179, 0.500, 0.000)
B (0.000, 0.411, 0.500)
B (0.132, 0.000, 0.500)
B (0.221, 0.346, 0.500)

Its energy is -7.41 eV per atom. As for the formation enthalpy at 0 K: -0.557 eV/atom. As for the crystal system: orthorhombic.

Record 3
The following is a PBE calculation of an optimized crystal structure of Ce2FeB10, from Alexandria via LeMat-Bulk.

Cell: 5.598 11.164 4.157 Å, 90.00 90.00 90.00°
Space group Pbam (No. 55)
Inequivalent atoms, fractional coordinates:
Ce (0.208, 0.131, 0.000)
Fe (0.000, 0.500, 0.500)
B (0.037, 0.313, 0.500)
B (0.127, 0.960, 0.500)
B (0.150, 0.802, 0.500)
B (0.204, 0.387, 0.200)

Its energy is -7.27 eV per atom. As for the formation enthalpy at 0 K: -0.574 eV/atom. As for the crystal system: orthorhombic.

Record 4
The following is a PBE calculation of an optimized crystal structure of CeFe2Ge2B, from Alexandria via LeMat-Bulk.

Cell: 4.025 4.025 5.412 Å, 90.00 90.00 90.00°
Space group P4/mmm (No. 123)
Inequivalent atoms, fractional coordinates:
Ce (0.000, 0.000, 0.000)
Fe (0.000, 0.500, 0.500)
Ge (0.500, 0.500, 0.236)
B (0.000, 0.000, 0.500)

Its energy is -6.89 eV per atom. As for the formation enthalpy at 0 K: -0.433 eV/atom. As for the crystal system: tetragonal.

Record 5
The following is a PBE calculation of an optimized crystal structure of Ce2MnFe5B2, from Alexandria via LeMat-Bulk.

Cell: 9.145 9.145 2.964 Å, 90.00 90.00 90.00°
Space group P4/mbm (No. 127)
Inequivalent atoms, fractional coordinates:
Ce (0.177, 0.323, 0.000)
Mn (0.000, 0.000, 0.000)
Fe (0.000, 0.500, 0.500)
Fe (0.069, 0.777, 0.500)
B (0.119, 0.619, 0.000)

Its energy is -7.81 eV per atom. As for the formation enthalpy at 0 K: -0.137 eV/atom. As for the crystal system: tetragonal.

Record 6
The following is a PBE calculation of an optimized crystal structure of Ce2MnFe3B12, from Alexandria via LeMat-Bulk.

Cell: 5.4232 5.4232 22.2309 Å, 90.00 90.00 120.00°
Space group R-3m (No. 166, hexagonal axes)
Inequivalent atoms, fractional coordinates:
Ce (0.0000, 0.0000, 0.1414)
Mn (0.0000, 0.0000, 0.5000)
Fe (0.0000, 0.5000, 0.0000)
B (0.0851, 0.5425, 0.0934)
B (0.1059, 0.2118, 0.7380)

Its energy is -7.03 eV per atom. As for the formation enthalpy at 0 K: 0.000 eV/atom. As for the crystal system: trigonal.

Record 7
The following is a PBE calculation of an optimized crystal structure of Ce2Fe3B12Mo, from Alexandria via LeMat-Bulk.

Cell: 5.4047 5.4047 23.3885 Å, 90.00 90.00 120.00°
Space group R-3m (No. 166, hexagonal axes)
Inequivalent atoms, fractional coordinates:
Ce (0.0000, 0.0000, 0.1417)
Fe (0.0000, 0.5000, 0.0000)
B (0.0880, 0.5440, 0.0876)
B (0.1062, 0.2123, 0.7355)
Mo (0.0000, 0.0000, 0.5000)

Its energy is -7.02 eV per atom. As for the formation enthalpy at 0 K: 0.105 eV/atom. As for the crystal system: trigonal.

Record 8
The following is a PBE calculation of an optimized crystal structure of CeNd3Fe28B2, from Alexandria via LeMat-Bulk.

Cell: 12.349 12.381 12.074 Å, 90.00 90.00 90.00°
Space group Cmmm (No. 65)
Inequivalent atoms, fractional coordinates:
Ce (0.000, 0.232, 0.000)
Nd (0.000, 0.143, 0.500)
Nd (0.143, 0.500, 0.000)
Nd (0.231, 0.500, 0.500)
Fe (0.000, 0.000, 0.115)
Fe (0.000, 0.182, 0.245)
Fe (0.000, 0.402, 0.203)
Fe (0.000, 0.500, 0.384)
Fe (0.098, 0.000, 0.295)
Fe (0.104, 0.329, 0.372)
Fe (0.161, 0.301, 0.175)
Fe (0.171, 0.105, 0.127)
Fe (0.183, 0.500, 0.254)
Fe (0.199, 0.162, 0.323)
Fe (0.250, 0.250, 0.000)
Fe (0.250, 0.250, 0.500)
B (0.000, 0.377, 0.500)
B (0.123, 0.000, 0.000)

Its energy is -8.02 eV per atom. As for the formation enthalpy at 0 K: -0.063 eV/atom. As for the crystal system: orthorhombic.

Record 9
The following is a PBE calculation of an optimized crystal structure of Ce2Fe3B12Os, from Alexandria via LeMat-Bulk.

Cell: 5.5551 5.5551 22.4508 Å, 90.00 90.00 120.00°
Space group R-3m (No. 166, hexagonal axes)
Inequivalent atoms, fractional coordinates:
Ce (0.0000, 0.0000, 0.1389)
Fe (0.0000, 0.5000, 0.0000)
B (0.0645, 0.5322, 0.0927)
B (0.1052, 0.2103, 0.7367)
Os (0.0000, 0.0000, 0.5000)

Its energy is -7.13 eV per atom. As for the formation enthalpy at 0 K: 0.018 eV/atom. As for the crystal system: trigonal.

Record 10
The following is a PBE calculation of an optimized crystal structure of CeFeB2Rh5, from Alexandria via LeMat-Bulk.

Cell: 4.149 4.149 7.958 Å, 90.00 90.00 90.00°
Space group P4/mmm (No. 123)
Inequivalent atoms, fractional coordinates:
Ce (0.000, 0.000, 0.000)
Fe (0.500, 0.500, 0.500)
B (0.500, 0.500, 0.255)
Rh (0.000, 0.500, 0.288)
Rh (0.500, 0.500, 0.000)

Its energy is -7.40 eV per atom. As for the formation enthalpy at 0 K: -0.231 eV/atom. As for the crystal system: tetragonal.

Record 11
The following is a PBE calculation of an optimized crystal structure of CeFe2Si2B, from Alexandria via LeMat-Bulk.

Cell: 3.909 3.909 5.280 Å, 90.00 90.00 90.00°
Space group P4/mmm (No. 123)
Inequivalent atoms, fractional coordinates:
Ce (0.000, 0.000, 0.000)
Fe (0.000, 0.500, 0.500)
Si (0.500, 0.500, 0.233)
B (0.000, 0.000, 0.500)

Its energy is -7.29 eV per atom. The calculation puts the uncorrected formation energy at -53.8 kJ per mole of atoms. As for the crystal system: tetragonal.

Record 12
The following is a PBE calculation of an optimized crystal structure of Ce2Fe5SiB2, from Alexandria via LeMat-Bulk.

Cell: 9.076 9.076 2.953 Å, 90.00 90.00 90.00°
Space group P4/mbm (No. 127)
Inequivalent atoms, fractional coordinates:
Ce (0.177, 0.323, 0.000)
Fe (0.000, 0.500, 0.500)
Fe (0.069, 0.781, 0.500)
Si (0.000, 0.000, 0.000)
B (0.120, 0.620, 0.000)

Its energy is -7.59 eV per atom. The calculation puts the uncorrected formation energy at -28.6 kJ per mole of atoms. As for the crystal system: tetragonal.

Record 13
The following is a PBE calculation of an optimized crystal structure of CeGaB12, from Alexandria via LeMat-Bulk.

Cell: 4.159 4.159 8.345 Å, 90.00 90.00 90.00°
Space group P4/mmm (No. 123)
Inequivalent atoms, fractional coordinates:
Ce (0.000, 0.000, 0.000)
Ga (0.000, 0.000, 0.500)
B (0.201, 0.500, 0.246)
B (0.500, 0.500, 0.099)
B (0.500, 0.500, 0.398)

Its energy is -6.53 eV per atom. As for the formation enthalpy at 0 K: -0.166 eV/atom. As for the crystal system: tetragonal.

Record 14
The following is a PBE calculation of an optimized crystal structure of Ce2GaBIr6, from Alexandria via LeMat-Bulk.

Cell: 5.572 5.576 7.260 Å, 67.63 67.53 60.08°
Space group P-1 (No. 2)
Inequivalent atoms, fractional coordinates:
Ce (0.216, 0.217, 0.352)
Ga (0.500, 0.500, 0.500)
B (0.000, 0.000, 0.000)
Ir (0.236, 0.235, 0.804)
Ir (0.236, 0.716, 0.810)
Ir (0.280, 0.765, 0.193)

Its energy is -7.99 eV per atom. As for the formation enthalpy at 0 K: -0.514 eV/atom. As for the crystal system: triclinic.

Record 15
The following is a PBE calculation of an optimized crystal structure of CeGa3B4O12, from Alexandria via LeMat-Bulk.

Cell: 9.6042 9.6042 7.6477 Å, 90.00 90.00 120.00°
Space group R32 (No. 155, hexagonal axes)
Inequivalent atoms, fractional coordinates:
Ce (0.0000, 0.0000, 0.0000)
Ga (0.0000, 0.5515, 0.0000)
B (0.0000, 0.0000, 0.5000)
B (0.0000, 0.4450, 0.5000)
O (0.0000, 0.5904, 0.5000)
O (0.0000, 0.8548, 0.5000)
O (0.0272, 0.2152, 0.1883)

Its energy is -7.40 eV per atom. The calculation puts the uncorrected formation energy at -225.3 kJ per mole of atoms. As for the crystal system: trigonal.

Record 16
The following is a PBE calculation of an optimized crystal structure of Ce3GaB2Rh9, from Alexandria via LeMat-Bulk.

Cell: 5.8271 5.8271 8.4728 Å, 90.00 90.00 120.00°
Space group P-3m1 (No. 164)
Inequivalent atoms, fractional coordinates:
Ce (0.0000, 0.0000, 0.0000)
Ce (0.3333, 0.6667, 0.6472)
Ga (0.0000, 0.0000, 0.5000)
B (0.3333, 0.6667, 0.1472)
Rh (0.0000, 0.5000, 0.0000)
Rh (0.1663, 0.3326, 0.2866)

Its energy is -7.35 eV per atom. As for the formation enthalpy at 0 K: -0.665 eV/atom. As for the crystal system: trigonal.